# MgCdHg2 PBE optimized geometry
# Energy ... -0.02853 hartree per atom
data_MgCdHg2
_cell_length_a 7.183
_cell_length_b 7.183
_cell_length_c 7.183
_cell_angle_alpha 90.00
_cell_angle_beta 90.00
_cell_angle_gamma 90.00
_symmetry_space_group_name_H-M 'F -4 3 m'
_symmetry_Int_Tables_number 216
_symmetry_space_group_name_Hall 'F -4 2 3'
loop_
_atom_site_label
_atom_site_fract_x
_atom_site_fract_y
_atom_site_fract_z
Mg1 0.000 0.000 0.000
Cd1 0.250 0.250 0.250
Hg1 0.000 0.000 0.500
Hg2 0.250 0.250 0.750